No. 1
Here is an optimized crystal structure of Tb11Dy4Ho9 from the Alexandria database. Energies are from PBE.

Structure (extended XYZ):
```
24
Lattice="8.309 -12.543 0.000 8.309 12.543 0.000 0.000 0.000 3.640" Properties=species:S:1:pos:R:3 pbc="T T T"
Tb 0.000 0.000 0.000
Tb 3.754 4.543 0.000
Tb 8.309 8.537 0.000
Tb 4.852 0.000 0.000
Tb 8.309 3.329 0.000
Tb 3.754 -4.543 0.000
Tb 12.865 4.543 0.000
Tb 8.309 -3.329 0.000
Tb 11.767 0.000 0.000
Tb 8.309 -8.537 0.000
Tb 12.865 -4.543 0.000
Dy 5.730 2.533 1.820
Dy 5.730 -2.533 1.820
Dy 10.889 2.533 1.820
Dy 10.889 -2.533 1.820
Ho 2.343 1.826 1.820
Ho 6.616 5.871 1.820
Ho 2.343 -1.826 1.820
Ho 10.002 5.871 1.820
Ho 8.309 0.000 1.820
Ho 6.616 -5.871 1.820
Ho 14.276 1.826 1.820
Ho 10.002 -5.871 1.820
Ho 14.276 -1.826 1.820
```

Properties
Energy relative to the elements = 0.052 eV/atom
E_tot = -109.28 eV for the cell shown
Space-group type = Cmmm
V = 31.6 Å³/atom

No. 2
Here is an optimized crystal structure of TbDy7Ho2 from the Alexandria database. Energies are from PBE.

Structure (extended XYZ):
```
10
Lattice="6.113 0.000 0.000 -1.026 6.040 0.000 -3.037 -2.587 8.443" Properties=species:S:1:pos:R:3 pbc="T T T"
Tb 0.000 0.000 0.000
Dy -2.032 1.727 4.221
Dy -2.022 0.691 7.597
Dy -1.010 3.969 6.750
Dy 1.019 2.245 2.536
Dy 3.060 -0.516 1.693
Dy 1.031 1.208 5.907
Dy 4.072 2.762 0.846
Ho 0.008 -1.034 3.380
Ho 2.042 4.487 5.063
```

Properties
Energy relative to the elements = 0.019 eV/atom
E_tot = -45.81 eV for the cell shown
Space-group type = P-1
Excess energy over the best structure of this formula in the dataset = 0.00 eV/f.u.
V = 31.2 Å³/atom

No. 3
Here is an optimized crystal structure of TbDy4Ho8 from the Alexandria database. Energies are from PBE.

Structure (extended XYZ):
```
13
Lattice="3.618 2.089 9.004 -3.618 2.089 9.004 0.000 -4.178 9.004" Properties=species:S:1:pos:R:3 pbc="T T T"
Tb 0.000 0.000 0.000
Dy -3.618 0.000 13.506
Dy -1.809 1.045 4.502
Dy 1.809 1.045 4.502
Dy 0.000 0.000 13.506
Ho 0.000 -1.859 10.771
Ho -1.610 0.929 10.771
Ho 0.000 0.000 7.655
Ho -1.610 -0.929 16.241
Ho 1.610 0.929 10.771
Ho 0.000 0.000 19.357
Ho 1.610 -0.929 16.241
Ho 0.000 1.859 16.241
```

Properties
Energy relative to the elements = 0.216 eV/atom
E_tot = -56.85 eV for the cell shown
Space-group type = R-3m
V = 31.4 Å³/atom

No. 4
Here is an optimized crystal structure of TbDy5Ho2 from the Alexandria database. Energies are from PBE.

Structure (extended XYZ):
```
16
Lattice="6.675 0.000 0.000 2.772 8.713 0.000 2.782 -0.252 8.715" Properties=species:S:1:pos:R:3 pbc="T T T"
Tb 2.575 1.894 3.447
Tb 9.654 6.567 5.267
Dy 3.950 7.751 2.001
Dy 5.351 6.122 7.807
Dy 4.935 -0.027 7.445
Dy 3.544 3.079 0.177
Dy 4.932 4.455 3.088
Dy 7.297 4.006 5.627
Dy 8.685 5.383 8.537
Dy 7.294 8.488 1.270
Dy 6.878 2.339 0.908
Dy 8.279 0.711 6.714
Ho 3.959 3.268 6.355
Ho 6.323 7.308 4.538
Ho 5.906 1.153 4.177
Ho 8.270 5.193 2.360
```

Properties
Energy relative to the elements = 0.009 eV/atom
E_tot = -73.45 eV for the cell shown
Space-group type = P-1
Excess energy over the best structure of this formula in the dataset = 0.00 eV/f.u.
V = 31.7 Å³/atom

No. 5
Here is an optimized crystal structure of Tb8DyHo3 from the Alexandria database. Energies are from PBE.

Structure (extended XYZ):
```
12
Lattice="-3.830 3.830 7.658 3.830 -3.830 7.658 3.830 3.830 -7.658" Properties=species:S:1:pos:R:3 pbc="T T T"
Tb 1.916 1.916 -1.915
Tb 1.914 -1.914 5.743
Tb 1.916 1.916 1.915
Tb 1.914 -1.914 9.574
Tb -1.914 1.914 5.743
Tb 1.914 1.914 5.743
Tb -1.914 1.914 9.574
Tb 1.914 1.914 9.574
Dy 0.000 0.000 0.000
Ho 3.830 0.000 3.829
Ho 0.000 0.000 7.658
Ho 0.000 3.830 3.829
```

Properties
Energy relative to the elements = 0.724 eV/atom
E_tot = -46.69 eV for the cell shown
Space-group type = I4/mmm
V = 37.4 Å³/atom

No. 6
Here is an optimized crystal structure of Tb3Dy4Ho from the Alexandria database. Energies are from PBE.

Structure (extended XYZ):
```
16
Lattice="11.233 0.000 0.000 0.000 7.244 0.000 0.000 0.000 6.265" Properties=species:S:1:pos:R:3 pbc="T T T"
Tb 0.000 0.907 0.000
Tb 2.809 0.907 2.086
Tb 2.808 6.337 5.218
Tb 5.616 6.337 3.132
Tb 8.424 0.907 2.086
Tb 8.425 6.337 5.218
Dy 0.000 2.718 3.136
Dy 0.000 4.524 6.264
Dy 2.814 2.717 5.220
Dy 2.803 4.527 2.088
Dy 5.616 2.720 3.132
Dy 5.616 4.526 0.003
Dy 8.419 2.717 5.220
Dy 8.430 4.527 2.088
Ho 0.000 6.336 3.132
Ho 5.616 0.908 6.264
```

Properties
Energy relative to the elements = 0.008 eV/atom
E_tot = -73.62 eV for the cell shown
Space-group type = Pmn2_1
Excess energy over the best structure of this formula in the dataset = 0.00 eV/f.u.
V = 31.9 Å³/atom